The following is a DFT calculation (GGA-PBE) of Rb2LiSiS4 after structural relaxation.

POSCAR file:
```
Rb2LiSiS4
1.0
-3.987 3.987 3.396
3.987 -3.987 3.396
3.987 3.987 -3.396
Rb Li Si S
2 1 1 4
Cartesian
3.987 0.000 0.000
0.000 3.987 0.000
0.000 0.000 0.000
0.000 0.000 3.396
2.841 2.841 -1.403
1.146 1.146 1.993
1.146 -1.146 4.799
-1.146 1.146 4.799
```

Output
Its formation energy (no corrections) is -0.925 eV/atom. Its crystal system is tetragonal. As for the space group: I-42m.